Record 1
# BaCa2Mg GGA-PBEsol optimized geometry
data_BaCa2Mg
_space_group_name_H-M_alt 'P 1'
_space_group_IT_number 1
_space_group_name_Hall 'P 1'
_cell_length_a 4.212
_cell_length_b 4.212
_cell_length_c 8.978
_cell_angle_alpha 90.00
_cell_angle_beta 90.00
_cell_angle_gamma 90.00
loop_
_atom_site_label
_atom_site_fract_x
_atom_site_fract_y
_atom_site_fract_z
Ca1 0.500 0.500 0.285
Ca2 0.000 0.000 0.031
Ba1 0.500 0.500 0.716
Mg1 0.000 0.000 0.468
# Volume, A^3/atom: 39.82
# Calculated formation energy, meV per atom: -25
# Total DFT energy (no corrections), eV/cell: -8.23

=====

Record 2
# TlSiRh GGA-PBEsol optimized geometry
data_TlSiRh
_space_group_name_H-M_alt 'P 1'
_space_group_IT_number 1
_space_group_name_Hall 'P 1'
_cell_length_a 3.169
_cell_length_b 3.169
_cell_length_c 6.141
_cell_angle_alpha 90.00
_cell_angle_beta 90.00
_cell_angle_gamma 120.00
loop_
_atom_site_label
_atom_site_fract_x
_atom_site_fract_y
_atom_site_fract_z
Tl1 0.667 0.333 0.324
Si1 0.333 0.667 0.719
Rh1 0.000 0.000 0.957
# Volume, A^3/atom: 17.80
# Uncorrected formation energy, eV per atom: -0.109
# Total DFT energy (no corrections), eV/cell: -16.84

=====

Record 3
# CaTl2Pt GGA-PBEsol optimized geometry
data_CaTl2Pt
_space_group_name_H-M_alt 'P 1'
_space_group_IT_number 1
_space_group_name_Hall 'P 1'
_cell_length_a 3.536
_cell_length_b 3.536
_cell_length_c 7.128
_cell_angle_alpha 90.00
_cell_angle_beta 90.00
_cell_angle_gamma 90.00
loop_
_atom_site_label
_atom_site_fract_x
_atom_site_fract_y
_atom_site_fract_z
Tl1 0.000 0.000 0.713
Tl2 0.000 0.000 0.287
Pt1 0.500 0.500 0.500
Ca1 0.500 0.500 0.000
# Volume, A^3/atom: 22.29
# Calculated formation energy, meV per atom: -280
# Total DFT energy (no corrections), eV/cell: -15.48

=====

Record 4
# K2ZrAg GGA-PBEsol optimized geometry
data_K2ZrAg
_space_group_name_H-M_alt 'P 1'
_space_group_IT_number 1
_space_group_name_Hall 'P 1'
_cell_length_a 3.010
_cell_length_b 5.767
_cell_length_c 7.036
_cell_angle_alpha 113.79
_cell_angle_beta 101.63
_cell_angle_gamma 91.72
loop_
_atom_site_label
_atom_site_fract_x
_atom_site_fract_y
_atom_site_fract_z
Zr1 0.000 0.500 0.000
Ag1 0.500 0.000 0.000
K1 0.500 0.500 0.500
K2 0.000 0.000 0.500
# Volume, A^3/atom: 27.15
# Calculated formation energy, meV per atom: 766
# Energy above the lowest structure with this stoichiometry, eV per formula unit: 0.000
# Total DFT energy (no corrections), eV/cell: -11.60

=====

Record 5
# CaMnCl2 GGA-PBEsol optimized geometry
data_CaMnCl2
_space_group_name_H-M_alt 'P 1'
_space_group_IT_number 1
_space_group_name_Hall 'P 1'
_cell_length_a 3.724
_cell_length_b 3.724
_cell_length_c 8.590
_cell_angle_alpha 77.48
_cell_angle_beta 77.48
_cell_angle_gamma 60.00
loop_
_atom_site_label
_atom_site_fract_x
_atom_site_fract_y
_atom_site_fract_z
Cl1 0.888 0.888 0.337
Cl2 0.112 0.112 0.663
Mn1 0.500 0.500 0.500
Ca1 0.000 0.000 0.000
# Volume, A^3/atom: 24.97
# Energy above the lowest structure with this stoichiometry, eV per formula unit: 0.764
# Uncorrected formation energy, eV per atom: -0.697
# Total DFT energy (no corrections), eV/cell: -18.70

=====

Record 6
# Tb5CuBi3 GGA-PBEsol optimized geometry
data_Tb5CuBi3
_space_group_name_H-M_alt 'P 1'
_space_group_IT_number 1
_space_group_name_Hall 'P 1'
_cell_length_a 6.320
_cell_length_b 9.213
_cell_length_c 9.213
_cell_angle_alpha 120.00
_cell_angle_beta 90.00
_cell_angle_gamma 90.00
loop_
_atom_site_label
_atom_site_fract_x
_atom_site_fract_y
_atom_site_fract_z
Cu1 0.500 0.000 0.000
Cu2 0.000 0.000 0.000
Tb1 0.000 0.667 0.333
Tb2 0.500 0.667 0.333
Tb3 0.750 0.255 0.000
Tb4 0.000 0.333 0.667
Tb5 0.250 0.000 0.745
Tb6 0.750 0.000 0.255
Tb7 0.250 0.745 0.000
Tb8 0.500 0.333 0.667
Tb9 0.250 0.255 0.255
Tb10 0.750 0.745 0.745
Bi1 0.750 0.386 0.386
Bi2 0.750 0.614 0.000
Bi3 0.250 0.386 0.000
Bi4 0.750 0.000 0.614
Bi5 0.250 0.614 0.614
Bi6 0.250 0.000 0.386
# Volume, A^3/atom: 25.81
# Calculated formation energy, meV per atom: -704
# Total DFT energy (no corrections), eV/cell: -97.14

=====

Record 7
# AlOs2Br GGA-PBEsol optimized geometry
data_AlOs2Br
_space_group_name_H-M_alt 'P 1'
_space_group_IT_number 1
_space_group_name_Hall 'P 1'
_cell_length_a 4.449
_cell_length_b 4.449
_cell_length_c 4.449
_cell_angle_alpha 60.00
_cell_angle_beta 60.00
_cell_angle_gamma 60.00
loop_
_atom_site_label
_atom_site_fract_x
_atom_site_fract_y
_atom_site_fract_z
Os1 0.000 0.000 0.000
Os2 0.750 0.750 0.750
Br1 0.250 0.250 0.250
Al1 0.500 0.500 0.500
# Volume, A^3/atom: 15.57
# Energy above the lowest structure with this stoichiometry, eV per formula unit: 2.506
# Uncorrected formation energy, eV per atom: 1.102
# Total DFT energy (no corrections), eV/cell: -25.99

=====

Record 8
# Ca3MgCu3 GGA-PBEsol optimized geometry
data_Ca3MgCu3
_space_group_name_H-M_alt 'P 1'
_space_group_IT_number 1
_space_group_name_Hall 'P 1'
_cell_length_a 4.161
_cell_length_b 9.841
_cell_length_c 9.841
_cell_angle_alpha 120.00
_cell_angle_beta 90.00
_cell_angle_gamma 90.00
loop_
_atom_site_label
_atom_site_fract_x
_atom_site_fract_y
_atom_site_fract_z
Mg1 0.250 0.333 0.667
Mg2 0.750 0.667 0.333
Cu1 0.750 0.972 0.844
Cu2 0.250 0.127 0.972
Cu3 0.750 0.873 0.028
Cu4 0.250 0.028 0.156
Cu5 0.750 0.156 0.127
Cu6 0.250 0.844 0.873
Ca1 0.250 0.934 0.623
Ca2 0.750 0.623 0.689
Ca3 0.250 0.377 0.311
Ca4 0.250 0.689 0.066
Ca5 0.750 0.066 0.377
Ca6 0.750 0.311 0.934
# Volume, A^3/atom: 24.93
# Calculated formation energy, meV per atom: -31
# Energy above the lowest structure with this stoichiometry, eV per formula unit: 0.383
# Total DFT energy (no corrections), eV/cell: -42.67

=====

Record 9
# CoOsBr GGA-PBEsol optimized geometry
data_CoOsBr
_space_group_name_H-M_alt 'P 1'
_space_group_IT_number 1
_space_group_name_Hall 'P 1'
_cell_length_a 2.864
_cell_length_b 2.864
_cell_length_c 5.849
_cell_angle_alpha 104.17
_cell_angle_beta 104.17
_cell_angle_gamma 90.00
loop_
_atom_site_label
_atom_site_fract_x
_atom_site_fract_y
_atom_site_fract_z
Br1 0.996 0.996 0.991
Os1 0.315 0.315 0.630
Co1 0.689 0.689 0.378
# Volume, A^3/atom: 15.00
# Uncorrected formation energy, eV per atom: 0.942
# Total DFT energy (no corrections), eV/cell: -19.00

=====

Record 10
# MnBeIrBr2 GGA-PBEsol optimized geometry
data_MnBeIrBr2
_space_group_name_H-M_alt 'P 1'
_space_group_IT_number 1
_space_group_name_Hall 'P 1'
_cell_length_a 4.890
_cell_length_b 4.994
_cell_length_c 4.994
_cell_angle_alpha 90.00
_cell_angle_beta 90.00
_cell_angle_gamma 90.00
loop_
_atom_site_label
_atom_site_fract_x
_atom_site_fract_y
_atom_site_fract_z
Br1 0.000 0.000 0.500
Br2 0.000 0.500 0.000
Ir1 0.000 0.000 0.000
Mn1 0.500 0.000 0.000
Be1 0.500 0.500 0.500
# Volume, A^3/atom: 24.39
# Uncorrected formation energy, eV per atom: 1.128
# Total DFT energy (no corrections), eV/cell: -21.69

=====

Record 11
# Ta2FeHg GGA-PBEsol optimized geometry
data_Ta2FeHg
_space_group_name_H-M_alt 'P 1'
_space_group_IT_number 1
_space_group_name_Hall 'P 1'
_cell_length_a 3.995
_cell_length_b 3.995
_cell_length_c 4.931
_cell_angle_alpha 113.90
_cell_angle_beta 113.90
_cell_angle_gamma 90.00
loop_
_atom_site_label
_atom_site_fract_x
_atom_site_fract_y
_atom_site_fract_z
Fe1 0.500 0.500 0.000
Ta1 0.250 0.750 0.500
Ta2 0.750 0.250 0.500
Hg1 0.000 0.000 0.000
# Volume, A^3/atom: 16.13
# Calculated formation energy, meV per atom: 245
# Total DFT energy (no corrections), eV/cell: -33.65

=====

Record 12
# KFeIr2 GGA-PBEsol optimized geometry
data_KFeIr2
_space_group_name_H-M_alt 'P 1'
_space_group_IT_number 1
_space_group_name_Hall 'P 1'
_cell_length_a 2.704
_cell_length_b 2.704
_cell_length_c 10.102
_cell_angle_alpha 90.00
_cell_angle_beta 90.00
_cell_angle_gamma 119.17
loop_
_atom_site_label
_atom_site_fract_x
_atom_site_fract_y
_atom_site_fract_z
Fe1 0.500 0.500 0.213
K1 0.000 0.000 0.503
Ir1 0.000 0.000 0.008
Ir2 0.500 0.500 0.776
# Volume, A^3/atom: 16.12
# Calculated formation energy, meV per atom: 783
# Energy above the lowest structure with this stoichiometry, eV per formula unit: 1.243
# Total DFT energy (no corrections), eV/cell: -26.61

=====

Record 13
# Li2PbSe GGA-PBEsol optimized geometry
data_Li2PbSe
_space_group_name_H-M_alt 'P 1'
_space_group_IT_number 1
_space_group_name_Hall 'P 1'
_cell_length_a 3.580
_cell_length_b 3.923
_cell_length_c 6.281
_cell_angle_alpha 108.20
_cell_angle_beta 106.56
_cell_angle_gamma 90.00
loop_
_atom_site_label
_atom_site_fract_x
_atom_site_fract_y
_atom_site_fract_z
Se1 0.274 0.274 0.549
Li1 0.930 0.430 0.861
Li2 0.752 0.752 0.503
Pb1 0.543 0.043 0.087
# Volume, A^3/atom: 19.99
# Uncorrected formation energy, eV per atom: -0.608
# Total DFT energy (no corrections), eV/cell: -14.21

=====

Record 14
# KIn2SeO GGA-PBEsol optimized geometry
data_KIn2SeO
_space_group_name_H-M_alt 'P 1'
_space_group_IT_number 1
_space_group_name_Hall 'P 1'
_cell_length_a 3.952
_cell_length_b 5.874
_cell_length_c 5.874
_cell_angle_alpha 90.00
_cell_angle_beta 90.00
_cell_angle_gamma 90.00
loop_
_atom_site_label
_atom_site_fract_x
_atom_site_fract_y
_atom_site_fract_z
Se1 0.000 0.000 0.000
In1 0.000 0.500 0.000
In2 0.000 0.000 0.500
O1 0.500 0.000 0.000
K1 0.500 0.500 0.500
# Volume, A^3/atom: 27.28
# Uncorrected formation energy, eV per atom: 0.002
# Total DFT energy (no corrections), eV/cell: -16.19

=====

Record 15
# Cr2CdNiF GGA-PBEsol optimized geometry
data_Cr2CdNiF
_space_group_name_H-M_alt 'P 1'
_space_group_IT_number 1
_space_group_name_Hall 'P 1'
_cell_length_a 4.590
_cell_length_b 5.094
_cell_length_c 5.094
_cell_angle_alpha 90.00
_cell_angle_beta 90.00
_cell_angle_gamma 90.00
loop_
_atom_site_label
_atom_site_fract_x
_atom_site_fract_y
_atom_site_fract_z
Cr1 0.000 0.500 0.000
Cr2 0.000 0.000 0.500
Cd1 0.000 0.000 0.000
Ni1 0.500 0.000 0.000
F1 0.500 0.500 0.500
# Volume, A^3/atom: 23.82
# Uncorrected formation energy, eV per atom: 1.415
# Total DFT energy (no corrections), eV/cell: -22.69

=====

Record 16
# Li7Au GGA-PBEsol optimized geometry
data_Li7Au
_space_group_name_H-M_alt 'P 1'
_space_group_IT_number 1
_space_group_name_Hall 'P 1'
_cell_length_a 5.711
_cell_length_b 5.711
_cell_length_c 5.711
_cell_angle_alpha 60.00
_cell_angle_beta 60.00
_cell_angle_gamma 60.00
loop_
_atom_site_label
_atom_site_fract_x
_atom_site_fract_y
_atom_site_fract_z
Li1 0.000 0.500 0.000
Li2 0.500 0.000 0.000
Li3 0.500 0.000 0.500
Li4 0.000 0.000 0.500
Li5 0.500 0.500 0.000
Li6 0.000 0.500 0.500
Li7 0.500 0.500 0.500
Au1 0.000 0.000 0.000
# Volume, A^3/atom: 16.46
# Calculated formation energy, meV per atom: -151
# Total DFT energy (no corrections), eV/cell: -18.90

=====

Record 17
# TiFeS2 GGA-PBEsol optimized geometry
data_TiFeS2
_space_group_name_H-M_alt 'P 1'
_space_group_IT_number 1
_space_group_name_Hall 'P 1'
_cell_length_a 3.223
_cell_length_b 3.223
_cell_length_c 7.627
_cell_angle_alpha 77.80
_cell_angle_beta 77.80
_cell_angle_gamma 60.00
loop_
_atom_site_label
_atom_site_fract_x
_atom_site_fract_y
_atom_site_fract_z
S1 0.098 0.098 0.705
S2 0.902 0.902 0.295
Ti1 0.500 0.500 0.500
Fe1 0.000 0.000 0.000
# Volume, A^3/atom: 16.64
# Energy above the lowest structure with this stoichiometry, eV per formula unit: 0.000
# Uncorrected formation energy, eV per atom: -0.648
# Total DFT energy (no corrections), eV/cell: -28.65

=====

Record 18
# Rb2Te2S GGA-PBEsol optimized geometry
data_Rb2Te2S
_space_group_name_H-M_alt 'P 1'
_space_group_IT_number 1
_space_group_name_Hall 'P 1'
_cell_length_a 5.463
_cell_length_b 7.874
_cell_length_c 7.874
_cell_angle_alpha 90.00
_cell_angle_beta 90.00
_cell_angle_gamma 90.00
loop_
_atom_site_label
_atom_site_fract_x
_atom_site_fract_y
_atom_site_fract_z
Te1 0.000 0.127 0.373
Te2 0.000 0.373 0.873
Te3 0.000 0.873 0.627
Te4 0.000 0.627 0.127
Rb1 0.500 0.821 0.321
Rb2 0.500 0.179 0.679
Rb3 0.500 0.679 0.821
Rb4 0.500 0.321 0.179
S1 0.000 0.000 0.000
S2 0.000 0.500 0.500
# Volume, A^3/atom: 33.88
# Uncorrected formation energy, eV per atom: -0.507
# Total DFT energy (no corrections), eV/cell: -32.04

=====

Record 19
# As4PAu GGA-PBEsol optimized geometry
data_As4PAu
_space_group_name_H-M_alt 'P 1'
_space_group_IT_number 1
_space_group_name_Hall 'P 1'
_cell_length_a 5.426
_cell_length_b 5.426
_cell_length_c 5.426
_cell_angle_alpha 60.00
_cell_angle_beta 60.00
_cell_angle_gamma 60.00
loop_
_atom_site_label
_atom_site_fract_x
_atom_site_fract_y
_atom_site_fract_z
As1 0.375 0.375 0.375
As2 0.375 0.875 0.375
As3 0.875 0.375 0.375
As4 0.375 0.375 0.875
Au1 0.750 0.750 0.750
P1 0.000 0.000 0.000
# Volume, A^3/atom: 18.82
# Calculated formation energy, meV per atom: 728
# Total DFT energy (no corrections), eV/cell: -25.78

=====

Record 20
# K2SrSb GGA-PBEsol optimized geometry
data_K2SrSb
_space_group_name_H-M_alt 'P 1'
_space_group_IT_number 1
_space_group_name_Hall 'P 1'
_cell_length_a 4.013
_cell_length_b 4.013
_cell_length_c 13.426
_cell_angle_alpha 81.40
_cell_angle_beta 81.40
_cell_angle_gamma 60.00
loop_
_atom_site_label
_atom_site_fract_x
_atom_site_fract_y
_atom_site_fract_z
Sb1 0.500 0.500 0.500
K1 0.768 0.768 0.696
K2 0.232 0.232 0.304
Sr1 0.000 0.000 0.000
# Volume, A^3/atom: 46.11
# Uncorrected formation energy, eV per atom: 0.042
# Total DFT energy (no corrections), eV/cell: -8.50